(1)
A crystal of CaAlCuSi2 relaxed with PBEsol. Source: Alexandria via LeMat-Bulk, functional SCAN.

```
CaAlCuSi2
1.0
4.523 0.000 0.000
0.000 4.779 0.000
0.000 0.000 4.779
Ca Si Cu Al
1 2 1 1
Cartesian
2.261 2.389 2.389 Ca
0.000 0.000 2.389 Si
0.000 2.389 0.000 Si
2.261 0.000 0.000 Cu
0.000 0.000 0.000 Al
```

Output
formation energy from raw total energies = 1.9 eV per formula unit
space group = P4/mmm, No. 123


(2)
A crystal of CaDyAl4 relaxed with PBEsol. Source: Alexandria via LeMat-Bulk, functional SCAN.

```
CaDyAl4
1.0
5.554 0.000 0.000
2.777 4.810 0.000
2.777 1.603 4.535
Ca Al Dy
1 4 1
Cartesian
8.332 4.810 3.401 Ca
6.947 2.403 1.699 Al
4.162 2.403 1.699 Al
5.554 4.815 1.699 Al
5.554 3.207 3.973 Al
0.000 0.000 0.000 Dy
```

Output
E_form = -2.54 eV per formula unit
space group = F-43m, No. 216


(3)
A crystal of CaAlF5 relaxed with PBEsol. Source: Alexandria via LeMat-Bulk, functional SCAN.

```
CaAlF5
1.0
-3.310 -0.264 -4.231
2.990 -0.602 -4.430
-0.447 -6.916 -2.404
Al Ca F
2 2 10
Cartesian
0.000 0.000 0.000 Al
-0.224 -3.458 -1.202 Al
-0.554 -2.147 -4.923 Ca
-0.214 -5.636 -6.143 Ca
-3.039 -2.014 -4.845 F
2.271 -5.769 -6.221 F
-1.946 -7.075 -6.527 F
-1.754 -4.021 -5.656 F
1.179 -0.708 -4.539 F
0.987 -3.762 -5.410 F
-0.356 -6.327 -4.065 F
-0.412 -4.927 -8.210 F
-0.411 -1.456 -7.001 F
-0.355 -2.857 -2.856 F
```

Output
ΔE to the lowest computed polymorph = 0 meV per atom
formation energy from raw total energies = -27.9 eV per formula unit
space group = C2/c, No. 15


(4)
A crystal of CaAlF5 relaxed with PBEsol. Source: Alexandria via LeMat-Bulk, functional SCAN.

```
CaAlF5
1.0
-1.679 -4.036 3.057
-1.981 -1.156 -6.948
8.454 -4.745 -1.621
Al Ca F
4 4 20
Cartesian
4.357 -5.008 -7.148 Al
-0.602 -5.479 -1.829 Al
0.438 -4.928 1.636 Al
5.396 -4.458 -3.684 Al
3.117 -4.650 -1.104 Ca
-1.227 -2.523 -0.187 Ca
1.677 -5.286 -4.408 Ca
6.021 -7.414 -5.325 Ca
2.744 -2.530 -1.559 F
5.417 -8.162 -0.936 F
2.050 -7.406 -3.954 F
-0.623 -1.775 -4.577 F
3.252 -6.837 -0.969 F
0.615 -1.446 -0.702 F
1.542 -3.100 -4.543 F
4.179 -8.491 -4.811 F
2.019 -4.340 0.897 F
5.876 -6.203 -3.340 F
2.775 -5.596 -6.409 F
-1.081 -3.734 -2.172 F
5.474 -4.120 -1.842 F
-0.328 -4.880 -0.074 F
-0.679 -5.816 -3.671 F
5.122 -5.057 -5.438 F
4.902 -6.745 -7.243 F
1.129 -5.020 -2.170 F
-0.108 -3.192 1.731 F
3.666 -4.917 -3.342 F
```

Output
ΔE to the lowest computed polymorph = 2 meV per atom
formation energy from raw total energies = -27.9 eV per formula unit
space group = P2_1/c, No. 14


(5)
A crystal of CaAlF3 relaxed with PBEsol. Source: Alexandria via LeMat-Bulk, functional SCAN.

```
CaAlF3
1.0
4.212 0.000 0.000
0.000 4.212 0.000
0.000 0.000 4.212
Al Ca F
1 1 3
Cartesian
2.106 2.106 2.106 Al
0.000 0.000 0.000 Ca
0.000 2.106 2.106 F
2.106 0.000 2.106 F
2.106 2.106 0.000 F
```

Output
formation energy from raw total energies = -11.8 eV per formula unit
space group = Pm-3m, No. 221


(6)
A crystal of Ca2AlF7 relaxed with PBEsol. Source: Alexandria via LeMat-Bulk, functional SCAN.

```
Ca2AlF7
1.0
6.990 0.000 0.000
0.000 7.671 0.000
0.000 0.000 9.500
Al Ca F
4 8 28
Cartesian
5.243 5.277 8.956 Al
1.748 6.230 4.206 Al
1.748 2.394 0.544 Al
5.243 1.442 5.294 Al
5.243 6.777 2.449 Ca
1.748 4.730 7.199 Ca
1.748 0.894 7.051 Ca
5.243 2.941 2.301 Ca
5.243 1.491 8.507 Ca
1.748 2.344 3.757 Ca
1.748 6.180 0.993 Ca
5.243 5.327 5.743 Ca
5.243 4.801 3.526 F
1.748 6.705 8.276 F
1.748 2.870 5.974 F
5.243 0.966 1.224 F
5.243 7.411 4.661 F
1.748 4.095 9.411 F
1.748 0.260 4.839 F
5.243 3.576 0.089 F
5.243 6.928 8.267 F
1.748 4.579 3.517 F
1.748 0.744 1.233 F
5.243 3.092 5.983 F
6.479 5.754 0.710 F
0.511 5.753 5.460 F
2.984 1.917 8.790 F
4.006 1.918 4.040 F
0.511 1.917 8.790 F
6.479 1.918 4.040 F
4.006 5.754 0.710 F
2.984 5.753 5.460 F
6.496 4.823 7.723 F
0.494 6.684 2.973 F
3.001 2.848 1.776 F
3.989 0.987 6.526 F
0.494 2.848 1.776 F
6.496 0.987 6.526 F
3.989 4.823 7.723 F
3.001 6.684 2.973 F
```

Output
formation energy from raw total energies = -40.5 eV per formula unit
space group = Pnma, No. 62


One value per record, in order, for total moment: 0.00, 0.01, 0.00, 0.00, 0.00, 0.01 μB/atom.